## ThSc2Mn (PBE)

Data for a geometry-optimized ThSc2Mn structure.

ΔE to the lowest computed polymorph (meV per atom): 0
Calculated total energy (eV for the cell shown): -28.9
Magnetic moment (μB/cell): 1.54

Unit cell a=3.2857 b=3.2857 c=8.3642 alpha=90.00 beta=90.00 gamma=90.00
Positions (direct):
Th  0.0000  0.0000  0.0000
Sc  0.5000  0.5000  0.3118
Sc  0.5000  0.5000  0.6882
Mn  0.0000  0.0000  0.5000

***

## Rb2Cr2Ni (PBE)

Data for a geometry-optimized Rb2Cr2Ni structure.

ΔE to the lowest computed polymorph (meV per atom): 0
Calculated total energy (eV for the cell shown): -41.9
Magnetic moment (μB/cell): 0.00

Unit cell a=6.3045 b=6.3045 c=6.0999 alpha=90.00 beta=90.00 gamma=90.00
Positions (direct):
Rb  0.2116  0.2884  0.0000
Rb  0.2884  0.7884  0.0000
Rb  0.7116  0.2116  0.0000
Rb  0.7884  0.7116  0.0000
Cr  0.1023  0.6023  0.5000
Cr  0.3977  0.1023  0.5000
Cr  0.6023  0.8977  0.5000
Cr  0.8977  0.3977  0.5000
Ni  0.0000  0.0000  0.5000
Ni  0.5000  0.5000  0.5000

***

## CaTmNi2 (PBE)

Data for a geometry-optimized CaTmNi2 structure.

Calculated total energy (eV for the cell shown): -19.1
Magnetic moment (μB/cell): 0.00

Unit cell a=3.3574 b=3.3574 c=6.8452 alpha=90.00 beta=90.00 gamma=90.00
Positions (direct):
Ca  0.0000  0.0000  0.0000
Tm  0.0000  0.0000  0.5000
Ni  0.5000  0.5000  0.2843
Ni  0.5000  0.5000  0.7157

***

## Ba2RhPb (PBE)

Data for a geometry-optimized Ba2RhPb structure.

Calculated total energy (eV for the cell shown): -15.9
Magnetic moment (μB/cell): 0.00

Unit cell a=6.9247 b=6.9247 c=6.9247 alpha=146.91 beta=132.06 gamma=59.49
Positions (direct):
Ba  0.0000  0.0000  0.0000
Ba  0.6937  0.1937  0.5000
Rh  0.2279  0.7279  0.5000
Pb  0.3863  0.3863  0.0000

***

- Look up the magnetic moment of the second one.
  0.00 μB/cell

***

Repeat the second record exactly.
## Rb2Cr2Ni (PBE)

Data for a geometry-optimized Rb2Cr2Ni structure.

ΔE to the lowest computed polymorph (meV per atom): 0
Calculated total energy (eV for the cell shown): -41.9
Magnetic moment (μB/cell): 0.00

Unit cell a=6.3045 b=6.3045 c=6.0999 alpha=90.00 beta=90.00 gamma=90.00
Positions (direct):
Rb  0.2116  0.2884  0.0000
Rb  0.2884  0.7884  0.0000
Rb  0.7116  0.2116  0.0000
Rb  0.7884  0.7116  0.0000
Cr  0.1023  0.6023  0.5000
Cr  0.3977  0.1023  0.5000
Cr  0.6023  0.8977  0.5000
Cr  0.8977  0.3977  0.5000
Ni  0.0000  0.0000  0.5000
Ni  0.5000  0.5000  0.5000